! MnCo2O6 | Alexandria via LeMat-Bulk | PBE with a Hubbard U | relaxed; values from VASP
! space-group type = No. 12
! energy = -6.156 eV/atom
&SYSTEM
  ibrav = 0, nat = 9, ntyp = 3
/
ATOMIC_SPECIES
O 16.00 O.upf
Co 58.93 Co.upf
Mn 54.94 Mn.upf
ATOMIC_POSITIONS crystal
O 0.014 0.014 0.779
O 0.986 0.986 0.221
O 0.680 0.680 0.452
O 0.656 0.656 0.877
O 0.320 0.320 0.548
O 0.344 0.344 0.123
Co 0.168 0.168 0.664
Co 0.832 0.832 0.336
Mn 0.500 0.500 0.000
CELL_PARAMETERS angstrom
-4.434 1.536 4.657
-5.371 -1.022 3.717
1.910 -2.565 5.080